(1)
VASP calculation (PBE-GGA) on LaPr2PaN4 after structural relaxation.

Geometry as CIF:
```
data_LaPr2PaN4
_chemical_formula_sum 'La1 Pr2 Pa1 N4'
_space_group_name_H-M_alt 'P 1'
_space_group_IT_number 1
_cell_length_a 6.299
_cell_length_b 3.646
_cell_length_c 6.343
_cell_angle_alpha 90.00
_cell_angle_beta 109.15
_cell_angle_gamma 90.00
loop_
_space_group_symop_operation_xyz
'x,y,z'
loop_
_atom_site_label
_atom_site_type_symbol
_atom_site_fract_x
_atom_site_fract_y
_atom_site_fract_z
La1 La 0.000 0.000 0.000
Pr1 Pr 0.500 0.000 0.500
Pr2 Pr 0.500 0.500 0.000
Pa1 Pa 0.000 0.500 0.500
N1 N 0.219 0.000 0.718
N2 N 0.228 0.500 0.275
N3 N 0.772 0.500 0.725
N4 N 0.781 0.000 0.282
```

The calculation puts the final energy at -0.31658 hartree per atom. As for the density of states at the Fermi level: 3.49 states/eV per cell. The calculated density is 8.54 g/cm3. As for the symmetry: No. 10.

=====

(2)
VASP calculation (PBE-GGA) on LaPa2PtN5 after structural relaxation.

Geometry as CIF:
```
data_LaPa2PtN5
_chemical_formula_sum 'La2 Pa4 Pt2 N10'
_space_group_name_H-M_alt 'P 1'
_space_group_IT_number 1
_cell_length_a 7.533
_cell_length_b 7.533
_cell_length_c 7.533
_cell_angle_alpha 127.97
_cell_angle_beta 127.97
_cell_angle_gamma 76.67
loop_
_space_group_symop_operation_xyz
'x,y,z'
loop_
_atom_site_label
_atom_site_type_symbol
_atom_site_fract_x
_atom_site_fract_y
_atom_site_fract_z
La1 La 0.250 0.250 0.000
La2 La 0.750 0.750 0.000
Pa1 Pa 0.174 0.674 0.848
Pa2 Pa 0.326 0.174 0.500
Pa3 Pa 0.674 0.826 0.500
Pa4 Pa 0.826 0.326 0.152
Pt1 Pt 0.250 0.750 0.500
Pt2 Pt 0.750 0.250 0.500
N1 N 0.000 0.000 0.000
N2 N 0.029 0.229 0.500
N3 N 0.229 0.729 0.200
N4 N 0.271 0.471 0.500
N5 N 0.471 0.971 0.200
N6 N 0.500 0.500 0.000
N7 N 0.529 0.029 0.800
N8 N 0.729 0.529 0.500
N9 N 0.771 0.271 0.800
N10 N 0.971 0.771 0.500
```

The calculation puts the final energy at -0.33132 hartree per atom. As for the density of states at the Fermi level: 15.12 states/eV per cell. The calculated density is 11.15 g/cm3. As for the symmetry: No. 140.

=====

(3)
VASP calculation (PBE-GGA) on La2PuPaN5 after structural relaxation.

Geometry as CIF:
```
data_La2PuPaN5
_chemical_formula_sum 'La2 Pu1 Pa1 N5'
_space_group_name_H-M_alt 'P 1'
_space_group_IT_number 1
_cell_length_a 4.107
_cell_length_b 4.107
_cell_length_c 8.943
_cell_angle_alpha 90.00
_cell_angle_beta 90.00
_cell_angle_gamma 90.00
loop_
_space_group_symop_operation_xyz
'x,y,z'
loop_
_atom_site_label
_atom_site_type_symbol
_atom_site_fract_x
_atom_site_fract_y
_atom_site_fract_z
La1 La 0.000 0.000 0.223
La2 La 0.000 0.000 0.777
Pu1 Pu 0.500 0.500 0.000
Pa1 Pa 0.500 0.500 0.500
N1 N 0.000 0.000 0.500
N2 N 0.000 0.500 0.000
N3 N 0.500 0.000 0.000
N4 N 0.500 0.500 0.272
N5 N 0.500 0.500 0.728
```

The calculation puts the final energy at -0.35277 hartree per atom. As for the density of states at the Fermi level: 6.78 states/eV per cell. The calculated density is 9.06 g/cm3. As for the symmetry: No. 123.

=====

(4)
VASP calculation (PBE-GGA) on LaPu2PaN4 after structural relaxation.

Geometry as CIF:
```
data_LaPu2PaN4
_chemical_formula_sum 'La1 Pu2 Pa1 N4'
_space_group_name_H-M_alt 'P 1'
_space_group_IT_number 1
_cell_length_a 6.124
_cell_length_b 3.556
_cell_length_c 6.200
_cell_angle_alpha 90.00
_cell_angle_beta 109.49
_cell_angle_gamma 90.00
loop_
_space_group_symop_operation_xyz
'x,y,z'
loop_
_atom_site_label
_atom_site_type_symbol
_atom_site_fract_x
_atom_site_fract_y
_atom_site_fract_z
La1 La 0.000 0.000 0.000
Pu1 Pu 0.500 0.000 0.500
Pu2 Pu 0.500 0.500 0.000
Pa1 Pa 0.000 0.500 0.500
N1 N 0.243 0.000 0.725
N2 N 0.261 0.500 0.282
N3 N 0.739 0.500 0.718
N4 N 0.757 0.000 0.275
```

The calculation puts the final energy at -0.40125 hartree per atom. As for the density of states at the Fermi level: 12.04 states/eV per cell. The calculated density is 11.92 g/cm3. As for the symmetry: No. 10.

=====

(5)
VASP calculation (PBE-GGA) on La2PuPaN4 after structural relaxation.

Geometry as CIF:
```
data_La2PuPaN4
_chemical_formula_sum 'La2 Pu1 Pa1 N4'
_space_group_name_H-M_alt 'P 1'
_space_group_IT_number 1
_cell_length_a 6.210
_cell_length_b 3.593
_cell_length_c 6.318
_cell_angle_alpha 90.00
_cell_angle_beta 109.56
_cell_angle_gamma 90.00
loop_
_space_group_symop_operation_xyz
'x,y,z'
loop_
_atom_site_label
_atom_site_type_symbol
_atom_site_fract_x
_atom_site_fract_y
_atom_site_fract_z
La1 La 0.000 0.000 0.000
La2 La 0.500 0.500 0.000
Pu1 Pu 0.000 0.500 0.500
Pa1 Pa 0.500 0.000 0.500
N1 N 0.244 0.000 0.710
N2 N 0.275 0.500 0.290
N3 N 0.725 0.500 0.710
N4 N 0.756 0.000 0.290
```

The calculation puts the final energy at -0.36057 hartree per atom. As for the density of states at the Fermi level: 8.75 states/eV per cell. The calculated density is 10.11 g/cm3. As for the symmetry: No. 10.

=====

(6)
VASP calculation (PBE-GGA) on LaPuPaN4 after structural relaxation.

Geometry as CIF:
```
data_LaPuPaN4
_chemical_formula_sum 'La1 Pu1 Pa1 N4'
_space_group_name_H-M_alt 'P 1'
_space_group_IT_number 1
_cell_length_a 7.562
_cell_length_b 7.562
_cell_length_c 7.562
_cell_angle_alpha 149.73
_cell_angle_beta 149.73
_cell_angle_gamma 43.34
loop_
_space_group_symop_operation_xyz
'x,y,z'
loop_
_atom_site_label
_atom_site_type_symbol
_atom_site_fract_x
_atom_site_fract_y
_atom_site_fract_z
La1 La 0.000 0.000 0.000
Pu1 Pu 0.664 0.664 0.000
Pa1 Pa 0.318 0.318 0.000
N1 N 0.214 0.714 0.500
N2 N 0.476 0.476 0.000
N3 N 0.714 0.214 0.500
N4 N 0.848 0.848 0.000
```

The calculation puts the final energy at -0.36867 hartree per atom. As for the density of states at the Fermi level: 7.22 states/eV per cell. The calculated density is 10.15 g/cm3. As for the symmetry: No. 107.

=====

(7)
VASP calculation (PBE-GGA) on La2PuPaN6 after structural relaxation.

Geometry as CIF:
```
data_La2PuPaN6
_chemical_formula_sum 'La4 Pu2 Pa2 N12'
_space_group_name_H-M_alt 'P 1'
_space_group_IT_number 1
_cell_length_a 5.973
_cell_length_b 6.037
_cell_length_c 10.359
_cell_angle_alpha 90.00
_cell_angle_beta 124.95
_cell_angle_gamma 90.00
loop_
_space_group_symop_operation_xyz
'x,y,z'
loop_
_atom_site_label
_atom_site_type_symbol
_atom_site_fract_x
_atom_site_fract_y
_atom_site_fract_z
La1 La 0.241 0.037 0.250
La2 La 0.241 0.463 0.750
La3 La 0.759 0.537 0.250
La4 La 0.759 0.963 0.750
Pu1 Pu 0.000 0.000 0.500
Pu2 Pu 0.000 0.500 0.000
Pa1 Pa 0.500 0.000 0.000
Pa2 Pa 0.500 0.500 0.500
N1 N 0.153 0.213 0.946
N2 N 0.153 0.287 0.446
N3 N 0.226 0.696 0.952
N4 N 0.226 0.804 0.452
N5 N 0.336 0.029 0.740
N6 N 0.336 0.471 0.240
N7 N 0.664 0.529 0.760
N8 N 0.664 0.971 0.260
N9 N 0.774 0.196 0.548
N10 N 0.774 0.304 0.048
N11 N 0.847 0.713 0.554
N12 N 0.847 0.787 0.054
```

The calculation puts the final energy at -0.35506 hartree per atom. The calculated density is 9.08 g/cm3. As for the symmetry: No. 14.

=====

(8)
VASP calculation (PBE-GGA) on LaPu3Pa2N6 after structural relaxation.

Geometry as CIF:
```
data_LaPu3Pa2N6
_chemical_formula_sum 'La1 Pu3 Pa2 N6'
_space_group_name_H-M_alt 'P 1'
_space_group_IT_number 1
_cell_length_a 7.910
_cell_length_b 7.910
_cell_length_c 7.036
_cell_angle_alpha 102.09
_cell_angle_beta 102.09
_cell_angle_gamma 25.83
loop_
_space_group_symop_operation_xyz
'x,y,z'
loop_
_atom_site_label
_atom_site_type_symbol
_atom_site_fract_x
_atom_site_fract_y
_atom_site_fract_z
La1 La 0.000 0.000 0.000
Pu1 Pu 0.000 0.000 0.500
Pu2 Pu 0.334 0.334 0.164
Pu3 Pu 0.666 0.666 0.836
Pa1 Pa 0.332 0.332 0.665
Pa2 Pa 0.668 0.668 0.335
N1 N 0.168 0.168 0.574
N2 N 0.174 0.174 0.100
N3 N 0.489 0.489 0.720
N4 N 0.511 0.511 0.280
N5 N 0.826 0.826 0.900
N6 N 0.832 0.832 0.426
```

The calculation puts the final energy at -0.40913 hartree per atom. As for the density of states at the Fermi level: 17.90 states/eV per cell. The calculated density is 12.56 g/cm3. As for the symmetry: No. 12.

=====

(9)
VASP calculation (PBE-GGA) on La2PaReN5 after structural relaxation.

Geometry as CIF:
```
data_La2PaReN5
_chemical_formula_sum 'La2 Pa1 Re1 N5'
_space_group_name_H-M_alt 'P 1'
_space_group_IT_number 1
_cell_length_a 3.904
_cell_length_b 3.904
_cell_length_c 8.698
_cell_angle_alpha 90.00
_cell_angle_beta 90.00
_cell_angle_gamma 90.00
loop_
_space_group_symop_operation_xyz
'x,y,z'
loop_
_atom_site_label
_atom_site_type_symbol
_atom_site_fract_x
_atom_site_fract_y
_atom_site_fract_z
La1 La 0.000 0.000 0.207
La2 La 0.000 0.000 0.793
Pa1 Pa 0.500 0.500 0.500
Re1 Re 0.500 0.500 0.000
N1 N 0.000 0.000 0.500
N2 N 0.000 0.500 0.000
N3 N 0.500 0.000 0.000
N4 N 0.500 0.500 0.260
N5 N 0.500 0.500 0.740
```

The calculation puts the final energy at -0.34356 hartree per atom. As for the density of states at the Fermi level: 1.00 states/eV per cell. The calculated density is 9.58 g/cm3. As for the symmetry: No. 123.

=====

(10)
VASP calculation (PBE-GGA) on La2PaReN6 after structural relaxation.

Geometry as CIF:
```
data_La2PaReN6
_chemical_formula_sum 'La2 Pa1 Re1 N6'
_space_group_name_H-M_alt 'P 1'
_space_group_IT_number 1
_cell_length_a 4.137
_cell_length_b 4.137
_cell_length_c 8.549
_cell_angle_alpha 90.00
_cell_angle_beta 90.00
_cell_angle_gamma 90.00
loop_
_space_group_symop_operation_xyz
'x,y,z'
loop_
_atom_site_label
_atom_site_type_symbol
_atom_site_fract_x
_atom_site_fract_y
_atom_site_fract_z
La1 La 0.000 0.000 0.218
La2 La 0.000 0.000 0.782
Pa1 Pa 0.500 0.500 0.500
Re1 Re 0.500 0.500 0.000
N1 N 0.000 0.500 0.000
N2 N 0.000 0.500 0.500
N3 N 0.500 0.000 0.000
N4 N 0.500 0.000 0.500
N5 N 0.500 0.500 0.227
N6 N 0.500 0.500 0.773
```

The calculation puts the final energy at -0.33179 hartree per atom. As for the density of states at the Fermi level: 2.97 states/eV per cell. The calculated density is 8.84 g/cm3. As for the symmetry: No. 123.

=====

(11)
VASP calculation (PBE-GGA) on LaPa2RhN5 after structural relaxation.

Geometry as CIF:
```
data_LaPa2RhN5
_chemical_formula_sum 'La2 Pa4 Rh2 N10'
_space_group_name_H-M_alt 'P 1'
_space_group_IT_number 1
_cell_length_a 7.508
_cell_length_b 7.508
_cell_length_c 7.508
_cell_angle_alpha 128.06
_cell_angle_beta 128.06
_cell_angle_gamma 76.53
loop_
_space_group_symop_operation_xyz
'x,y,z'
loop_
_atom_site_label
_atom_site_type_symbol
_atom_site_fract_x
_atom_site_fract_y
_atom_site_fract_z
La1 La 0.250 0.250 0.000
La2 La 0.750 0.750 0.000
Pa1 Pa 0.176 0.676 0.853
Pa2 Pa 0.324 0.176 0.500
Pa3 Pa 0.676 0.824 0.500
Pa4 Pa 0.824 0.324 0.147
Rh1 Rh 0.250 0.750 0.500
Rh2 Rh 0.750 0.250 0.500
N1 N 0.000 0.000 0.000
N2 N 0.022 0.229 0.500
N3 N 0.229 0.729 0.207
N4 N 0.271 0.478 0.500
N5 N 0.478 0.978 0.207
N6 N 0.500 0.500 0.000
N7 N 0.522 0.022 0.793
N8 N 0.729 0.522 0.500
N9 N 0.771 0.271 0.793
N10 N 0.978 0.771 0.500
```

The calculation puts the final energy at -0.33929 hartree per atom. As for the density of states at the Fermi level: 12.28 states/eV per cell. The calculated density is 10.08 g/cm3. As for the symmetry: No. 140.

=====

Q: The highest final energy belongs to which entry?
A: LaPr2PaN4

=====

Q: Number 1 is which compound?
A: LaPr2PaN4